20
Lattice="-4.664 -1.836 -1.278 2.052 -4.684 -0.760 -1.511 -1.881 7.512" Properties=species:S:1:pos:R:3 comment="Ni3SnO6 | Alexandria | PBE with a Hubbard U | relaxed" dos_ef_per_ev_cell=5.06 e_tot_ev_per_atom=-5.095 pbc="T T T"
Ni -1.635 -6.815 4.665
Ni -1.306 -3.260 -1.019
Ni -2.488 -1.585 0.808
Ni 0.689 -3.213 1.832
Ni -0.755 -0.940 3.756
Ni -4.812 -5.188 3.642
Sn -2.062 -4.200 2.737
Sn 0.000 0.000 0.000
O -4.127 -3.874 6.202
O -3.849 -3.331 3.542
O -2.635 -3.585 0.838
O -1.488 -4.815 4.635
O -0.274 -5.069 1.931
O 0.004 -4.526 -0.729
O -0.776 -2.618 2.988
O -0.505 -2.058 0.331
O -1.682 -2.182 5.465
O -2.441 -6.218 0.009
O -3.618 -6.343 5.142
O -3.347 -5.782 2.485